(1)
BeHgIr2: relaxed, PBE.

Output
* N(E_F): 0.997 states/eV per atom
* energy above the lowest structure with this stoichiometry: 335 meV/atom
* space-group type: P4/mmm (123)
* formation enthalpy at 0 K: 0.41 eV per atom

a = 3.8015 Å, b = 3.9600 Å, c = 3.9600 Å
α = 90.00°, β = 90.00°, γ = 90.00°
With the nearest neighbours (Å) after each atom.
Positions (direct):
Hg 0.5000 0.0000 0.5000  8 Ir 2.74, 4 Be 2.80
Ir 0.0000 0.5000 0.5000  4 Hg 2.74, 4 Be 2.74, 4 Ir 2.80
Ir 0.0000 0.0000 0.0000  4 Hg 2.74, 4 Be 2.74, 4 Ir 2.80
Be 0.5000 0.5000 0.0000  8 Ir 2.74, 4 Hg 2.80


(2)
BeHgIr2: relaxed, PBE.

Output
* N(E_F): 1.173 states/eV per atom
* energy above the lowest structure with this stoichiometry: 373 meV/atom
* space-group type: I-4m2 (119)
* formation enthalpy at 0 K: 0.45 eV per atom

a = 4.7242 Å, b = 4.7242 Å, c = 4.7242 Å
α = 130.27°, β = 130.27°, γ = 72.98°
With the nearest neighbours (Å) after each atom.
Positions (direct):
Hg 0.7500 0.2500 0.5000  4 Be 2.75, 8 Ir 2.75-2.81
Ir 0.0000 0.0000 0.0000  4 Hg 2.75, 4 Ir 2.75, 4 Be 2.81
Be 0.5000 0.5000 0.0000  8 Ir 2.75-2.81, 4 Hg 2.75
Ir 0.2500 0.7500 0.5000  4 Be 2.75, 4 Ir 2.75, 4 Hg 2.81


(3)
BeHgIr3: relaxed, PBE.

Output
* N(E_F): 0.809 states/eV per atom
* energy above the lowest structure with this stoichiometry: 0 meV/atom
* space-group type: Pm-3m (221)
* formation enthalpy at 0 K: 0.49 eV per atom

a = 4.2253 Å, b = 4.2253 Å, c = 4.2253 Å
α = 90.00°, β = 90.00°, γ = 90.00°
With the nearest neighbours (Å) after each atom.
Positions (direct):
Ir 0.5000 0.0000 0.0000  2 Be 2.11
Be 0.0000 0.0000 0.0000  6 Ir 2.11
Ir 0.0000 0.0000 0.5000  2 Be 2.11
Hg 0.5000 0.5000 0.5000  12 Ir 2.99
Ir 0.0000 0.5000 0.0000  2 Be 2.11


(4)
BeHgIr2: relaxed, PBE.

Output
* N(E_F): 1.468 states/eV per atom
* energy above the lowest structure with this stoichiometry: 0 meV/atom
* space-group type: P4/mmm (123)
* formation enthalpy at 0 K: 0.08 eV per atom

a = 2.8761 Å, b = 2.8761 Å, c = 6.9752 Å
α = 90.00°, β = 90.00°, γ = 90.00°
With the nearest neighbours (Å) after each atom.
Positions (direct):
Be 0.5000 0.5000 0.2500  8 Ir 2.43
Hg 0.5000 0.5000 0.7500  4 Hg 2.88, 8 Ir 2.97
Ir 0.0000 0.0000 0.0603  4 Be 2.43, 1 Ir 2.65
Ir 0.0000 0.0000 0.4397  4 Be 2.43, 1 Ir 2.65


(5)
BeHgIr2: relaxed, PBE.

Output
* N(E_F): 1.029 states/eV per atom
* energy above the lowest structure with this stoichiometry: 354 meV/atom
* space-group type: I4/mmm (139)
* formation enthalpy at 0 K: 0.43 eV per atom

a = 4.7544 Å, b = 4.7544 Å, c = 4.7544 Å
α = 130.98°, β = 130.98°, γ = 71.85°
With the nearest neighbours (Å) after each atom.
Positions (direct):
Be 0.2500 0.7500 0.5000  8 Ir 2.76, 4 Hg 2.79
Ir 0.0000 0.0000 0.0000  4 Hg 2.76, 4 Be 2.76, 4 Ir 2.79
Hg 0.7500 0.2500 0.5000  8 Ir 2.76, 4 Be 2.79
Ir 0.5000 0.5000 0.0000  4 Hg 2.76, 4 Be 2.76, 4 Ir 2.79


(6)
BeHgIr2: relaxed, PBE.

Output
* N(E_F): 0.900 states/eV per atom
* energy above the lowest structure with this stoichiometry: 388 meV/atom
* space-group type: Cmmm (65)
* formation enthalpy at 0 K: 0.47 eV per atom

a = 4.5745 Å, b = 4.5745 Å, c = 2.9468 Å
α = 90.00°, β = 90.00°, γ = 103.37°
With the nearest neighbours (Å) after each atom.
Positions (direct):
Be 0.5000 0.0000 0.5000  8 Ir 2.72, 2 Hg 2.84, 2 Be 2.95
Ir 0.5000 0.5000 0.0000  4 Be 2.72, 4 Hg 2.72, 4 Ir 2.84-2.95
Ir 0.0000 0.0000 0.0000  4 Hg 2.72, 4 Be 2.72, 4 Ir 2.84-2.95
Hg 0.0000 0.5000 0.5000  8 Ir 2.72, 2 Be 2.84, 2 Hg 2.95


(7)
BeHgIr2: relaxed, PBE.

Output
* N(E_F): 1.053 states/eV per atom
* energy above the lowest structure with this stoichiometry: 357 meV/atom
* space-group type: Fm-3m (225)
* formation enthalpy at 0 K: 0.43 eV per atom

a = 4.3842 Å, b = 4.3842 Å, c = 4.3842 Å
α = 60.00°, β = 60.00°, γ = 60.00°
With the nearest neighbours (Å) after each atom.
Positions (direct):
Ir 0.7500 0.7500 0.7500  4 Hg 2.68, 4 Be 2.68
Ir 0.2500 0.2500 0.2500  4 Hg 2.68, 4 Be 2.68
Hg 0.5000 0.5000 0.5000  8 Ir 2.68
Be 0.0000 0.0000 0.0000  8 Ir 2.68


(8)
BeHgIr2: relaxed, PBE.

Output
* N(E_F): 1.266 states/eV per atom
* energy above the lowest structure with this stoichiometry: 441 meV/atom
* space-group type: F-43m (216)
* formation enthalpy at 0 K: 0.52 eV per atom

a = 4.4105 Å, b = 4.4105 Å, c = 4.4105 Å
α = 60.00°, β = 60.00°, γ = 60.00°
With the nearest neighbours (Å) after each atom.
Positions (direct):
Hg 0.7500 0.7500 0.7500  4 Be 2.70, 4 Ir 2.70
Ir 0.2500 0.2500 0.2500  4 Be 2.70, 4 Ir 2.70
Be 0.5000 0.5000 0.5000  4 Hg 2.70, 4 Ir 2.70
Ir 0.0000 0.0000 0.0000  4 Hg 2.70, 4 Ir 2.70


(9)
BeHgIr2: relaxed, PBE.

Output
* N(E_F): 0.716 states/eV per atom
* energy above the lowest structure with this stoichiometry: 327 meV/atom
* space-group type: Pmmm (47)
* formation enthalpy at 0 K: 0.40 eV per atom

a = 2.8702 Å, b = 4.6817 Å, c = 4.5079 Å
α = 90.00°, β = 90.00°, γ = 90.00°
With the nearest neighbours (Å) after each atom.
Positions (direct):
Ir 0.5000 0.5000 0.0000  4 Hg 2.67, 6 Ir 2.75-2.87
Hg 0.0000 0.5000 0.5000  4 Ir 2.67, 4 Be 2.75, 2 Hg 2.87
Be 0.5000 0.0000 0.5000  4 Ir 2.67, 4 Hg 2.75, 2 Be 2.87
Ir 0.0000 0.0000 0.0000  4 Be 2.67, 6 Ir 2.75-2.87


(10)
BeHgIr2: relaxed, PBE.

Output
* N(E_F): 0.361 states/eV per atom
* energy above the lowest structure with this stoichiometry: 37 meV/atom
* space-group type: P2/m (10)
* formation enthalpy at 0 K: 0.11 eV per atom

a = 3.8324 Å, b = 2.8782 Å, c = 5.6345 Å
α = 73.28°, β = 90.00°, γ = 90.00°
With the nearest neighbours (Å) after each atom.
Positions (direct):
Be 0.5000 0.2500 0.2500  4 Ir 2.33
Ir 0.0000 0.3955 0.4538  2 Be 2.33, 1 Ir 2.60
Ir 0.0000 0.1045 0.0462  2 Be 2.33, 1 Ir 2.60
Hg 0.5000 0.7500 0.7500  2 Be 2.77, 8 Ir 2.85-2.91, 2 Hg 2.88


(11)
BeHgIr2: relaxed, PBE.

Output
* N(E_F): 0.677 states/eV per atom
* energy above the lowest structure with this stoichiometry: 64 meV/atom
* space-group type: P4mm (99)
* formation enthalpy at 0 K: 0.14 eV per atom

a = 2.8926 Å, b = 2.8926 Å, c = 6.9698 Å
α = 90.00°, β = 90.00°, γ = 90.00°
With the nearest neighbours (Å) after each atom.
Positions (direct):
Ir 0.0000 0.0000 0.0256  8 Ir 2.78-2.89, 4 Hg 2.91, 1 Be 2.96
Ir 0.5000 0.5000 0.2953  4 Be 2.32
Be 0.0000 0.0000 0.4510  4 Ir 2.32
Hg 0.5000 0.5000 0.7281  4 Be 2.81, 4 Hg 2.89, 5 Ir 2.91-3.02


(12)
BeHgIr2: relaxed, PBE.

Output
* N(E_F): 1.024 states/eV per atom
* energy above the lowest structure with this stoichiometry: 266 meV/atom
* space-group type: Imm2 (44)
* formation enthalpy at 0 K: 0.34 eV per atom

a = 5.2059 Å, b = 5.2059 Å, c = 5.2059 Å
α = 147.39°, β = 129.19°, γ = 61.69°
With the nearest neighbours (Å) after each atom.
Positions (direct):
Be 0.5155 0.5155 0.0000  2 Ir 2.30, 2 Hg 2.55
Ir 0.9884 0.9884 0.0000  4 Be 2.68, 4 Ir 2.85-2.92, 4 Hg 2.90-3.00
Ir 0.7145 0.2145 0.5000  2 Be 2.30
Hg 0.2816 0.7816 0.5000  2 Be 2.55, 4 Ir 2.74


(13)
BeHgIr2: relaxed, PBE.

Output
* N(E_F): 0.734 states/eV per atom
* energy above the lowest structure with this stoichiometry: 525 meV/atom
* space-group type: I-42d (122)
* formation enthalpy at 0 K: 0.60 eV per atom

a = 4.3615 Å, b = 4.3615 Å, c = 8.4960 Å
α = 75.13°, β = 75.13°, γ = 90.00°
With the nearest neighbours (Å) after each atom.
Positions (direct):
Ir 0.4932 0.1250 0.2500  2 Be 2.32, 2 Ir 2.41
Be 0.2500 0.7500 0.5000  4 Ir 2.32
Ir 0.3750 0.5068 0.7500  2 Be 2.32, 2 Ir 2.41
Hg 0.7500 0.2500 0.5000  4 Ir 2.81, 4 Be 3.08
Ir 0.8750 0.7432 0.7500  2 Be 2.32, 2 Ir 2.41
Hg 0.0000 0.0000 0.0000  4 Ir 2.81, 4 Be 3.08
Be 0.5000 0.5000 0.0000  4 Ir 2.32
Ir 0.2568 0.6250 0.2500  2 Be 2.32, 2 Ir 2.41


(14)
BeHg4Ir: relaxed, PBE.

Output
* N(E_F): 0.480 states/eV per atom
* space-group type: F-43m (216)
* formation enthalpy at 0 K: 1.01 eV per atom

a = 5.5998 Å, b = 5.5998 Å, c = 5.5998 Å
α = 60.00°, β = 60.00°, γ = 60.00°
With the nearest neighbours (Å) after each atom.
Positions (direct):
Be 0.0000 0.0000 0.0000  12 Hg 3.28, 4 Ir 3.43
Hg 0.3752 0.8745 0.3752  6 Hg 2.80
Ir 0.7500 0.7500 0.7500  12 Hg 3.28, 4 Be 3.43
Hg 0.3752 0.3752 0.8745  6 Hg 2.80
Hg 0.8745 0.3752 0.3752  6 Hg 2.80
Hg 0.3752 0.3752 0.3752  6 Hg 2.80


(15)
BeHgIr2: relaxed, PBE.

Output
* N(E_F): 0.804 states/eV per atom
* energy above the lowest structure with this stoichiometry: 284 meV/atom
* space-group type: Cmm2 (35)
* formation enthalpy at 0 K: 0.36 eV per atom

a = 2.8181 Å, b = 2.8181 Å, c = 8.8487 Å
α = 90.00°, β = 90.00°, γ = 120.50°
With the nearest neighbours (Å) after each atom.
Positions (direct):
Ir 0.0000 0.0000 0.0154  8 Ir 2.70-2.82, 2 Hg 2.88
Be 0.0000 0.0000 0.4769  2 Ir 2.25
Hg 0.5000 0.5000 0.7306  2 Be 2.64, 6 Hg 2.80-2.82, 2 Ir 2.88
Ir 0.5000 0.5000 0.2770  2 Be 2.25